1.
{"formula": "PrPaTeSe", "functional": "PBE", "state": "optimized geometry", "space_group": "F-43m (216)", "mass_density_g_cm3": 9.368, "total_energy_ev_per_cell": -25.06, "e_form_raw_mev_per_atom": -1038.5, "lattice": [[0.000, 3.715, 3.715], [3.715, 0.000, 3.715], [3.715, 3.715, 0.000]], "species": ["Pr", "Pa", "Te", "Se"], "fractional_positions": [[0.000, 0.000, 0.000], [0.500, 0.500, 0.500], [0.750, 0.750, 0.750], [0.250, 0.250, 0.250]]}

---

2.
{"formula": "KSi2Hg", "functional": "PBE", "state": "optimized geometry", "space_group": "Cmmm (65)", "mass_density_g_cm3": 5.485, "total_energy_ev_per_cell": -9.99, "e_form_raw_mev_per_atom": 562.6, "lattice": [[3.067, -5.161, 0.000], [3.067, 5.161, 0.000], [0.000, 0.000, 2.830]], "species": ["K", "Si", "Si", "Hg"], "fractional_positions": [[0.000, 0.000, 0.000], [0.000, 0.500, 0.500], [0.500, 0.000, 0.500], [0.500, 0.500, 0.000]]}

---

3.
{"formula": "Hf2TiBiB", "functional": "PBE", "state": "optimized geometry", "space_group": "P4/mmm (123)", "mass_density_g_cm3": 10.931, "ef_mev_per_atom": -227, "total_energy_ev_per_cell": -39.50, "lattice": [[4.658, 0.000, 0.000], [0.000, 4.658, 0.000], [0.000, 0.000, 4.372]], "species": ["Hf", "Hf", "Ti", "Bi", "B"], "fractional_positions": [[0.000, 0.500, 0.000], [0.500, 0.000, 0.000], [0.000, 0.000, 0.500], [0.500, 0.500, 0.500], [0.000, 0.000, 0.000]]}

---

4.
{"formula": "Y6Mn2Cd", "functional": "PBE", "state": "optimized geometry", "space_group": "Immm (71)", "mass_density_g_cm3": 5.378, "ef_mev_per_atom": -26, "total_energy_ev_per_cell": -116.54, "lattice": [[-4.798, 4.865, 4.998], [4.798, -4.865, 4.998], [4.798, 4.865, -4.998]], "species": ["Y", "Y", "Y", "Y", "Y", "Y", "Y", "Y", "Y", "Y", "Y", "Y", "Mn", "Mn", "Mn", "Mn", "Cd", "Cd"], "fractional_positions": [[0.012, 0.228, 0.783], [0.189, 0.286, 0.475], [0.189, 0.714, 0.903], [0.312, 0.020, 0.708], [0.312, 0.604, 0.292], [0.445, 0.228, 0.217], [0.555, 0.772, 0.783], [0.688, 0.396, 0.708], [0.688, 0.980, 0.292], [0.811, 0.286, 0.097], [0.811, 0.714, 0.525], [0.988, 0.772, 0.217], [0.104, 0.604, 0.500], [0.389, 0.000, 0.389], [0.611, 0.000, 0.611], [0.896, 0.396, 0.500], [0.000, 0.000, 0.000], [0.500, 0.500, 0.000]]}

---

5.
{"formula": "CrRh2Se", "functional": "PBE", "state": "optimized geometry", "space_group": "Pmmm (47)", "mass_density_g_cm3": 9.523, "total_energy_ev_per_cell": -27.70, "e_form_raw_mev_per_atom": 27.3, "lattice": [[2.923, 0.000, 0.000], [0.000, 3.575, 0.000], [0.000, 0.000, 5.620]], "species": ["Cr", "Rh", "Rh", "Se"], "fractional_positions": [[0.000, 0.000, 0.000], [0.500, 0.500, 0.235], [0.500, 0.500, 0.765], [0.000, 0.000, 0.500]]}

---

6.
{"formula": "Dy6As2P3Se", "functional": "PBE", "state": "optimized geometry", "space_group": "C2/m (12)", "mass_density_g_cm3": 7.606, "total_energy_ev_per_cell": -76.60, "e_form_raw_mev_per_atom": -1664.8, "lattice": [[8.838, -2.026, 0.000], [8.838, 2.026, 0.000], [-1.883, 0.000, 7.906]], "species": ["Dy", "Dy", "Dy", "Dy", "Dy", "Dy", "As", "As", "P", "P", "P", "Se"], "fractional_positions": [[0.002, 0.002, 0.239], [0.329, 0.329, 0.420], [0.335, 0.335, 0.913], [0.665, 0.665, 0.087], [0.671, 0.671, 0.580], [0.998, 0.998, 0.761], [0.166, 0.166, 0.831], [0.834, 0.834, 0.169], [0.165, 0.165, 0.334], [0.500, 0.500, 0.000], [0.835, 0.835, 0.666], [0.500, 0.500, 0.500]]}

---

Question: Number 3 is which compound?
Answer: Hf2TiBiB